Entry 1:
# Ir3Cl PBE-GGA relaxed
data_Ir3Cl
_cell_length_a 6.2774
_cell_length_b 6.2774
_cell_length_c 7.3969
_cell_angle_alpha 90.00
_cell_angle_beta 90.00
_cell_angle_gamma 120.00
_space_group_name_H-M_alt 'P 63/m m c'
_space_group_IT_number 194
_space_group_name_Hall '-P 6c 2c'
loop_
_atom_site_label
_atom_site_fract_x
_atom_site_fract_y
_atom_site_fract_z
Ir1 0.0000 0.5000 0.0000
Ir2 0.1541 0.3083 0.2500
Cl1 0.0000 0.0000 0.0000
Cl2 0.3333 0.6667 0.7500
# - total energy (eV/atom) = -5.9954
# - uncorrected formation energy (eV per formula unit) = 4.45
# - energy above the lowest structure with this stoichiometry (eV per atom) = 0.643

Entry 2:
# Ac2Al4Zn3Pb PBE-GGA relaxed
data_Ac2Al4Zn3Pb
_cell_length_a 4.5654
_cell_length_b 4.5654
_cell_length_c 10.9741
_cell_angle_alpha 90.00
_cell_angle_beta 90.00
_cell_angle_gamma 90.00
_space_group_name_H-M_alt 'P -4 m 2'
_space_group_IT_number 115
_space_group_name_Hall 'P -4 -2'
loop_
_atom_site_label
_atom_site_fract_x
_atom_site_fract_y
_atom_site_fract_z
Ac1 0.0000 0.5000 0.2397
Al1 0.0000 0.0000 0.0000
Al2 0.0000 0.5000 0.6468
Al3 0.5000 0.5000 0.0000
Zn1 0.0000 0.5000 0.8772
Zn2 0.5000 0.5000 0.5000
Pb1 0.0000 0.0000 0.5000
# - energy relative to the elements (eV per atom) = -0.301
# - total energy (eV/atom) = -3.3726

Entry 3:
# LiCu PBE-GGA relaxed
data_LiCu
_cell_length_a 2.6673
_cell_length_b 2.6673
_cell_length_c 26.4215
_cell_angle_alpha 90.00
_cell_angle_beta 90.00
_cell_angle_gamma 120.00
_space_group_name_H-M_alt 'R -3 m'
_space_group_IT_number 166
_space_group_name_Hall '-R 3 2"'
loop_
_atom_site_label
_atom_site_fract_x
_atom_site_fract_y
_atom_site_fract_z
Li1 0.0000 0.0000 0.1177
Cu1 0.0000 0.0000 0.3716
# - energy relative to the elements (eV per atom) = 0.042
# - total energy (eV/atom) = -2.9628

Entry 4:
# Li3SnO PBE-GGA relaxed
data_Li3SnO
_cell_length_a 5.2249
_cell_length_b 5.2249
_cell_length_c 5.2249
_cell_angle_alpha 90.00
_cell_angle_beta 90.00
_cell_angle_gamma 90.00
_space_group_name_H-M_alt 'P m -3 m'
_space_group_IT_number 221
_space_group_name_Hall '-P 4 2 3'
loop_
_atom_site_label
_atom_site_fract_x
_atom_site_fract_y
_atom_site_fract_z
Li1 0.0000 0.0000 0.5000
Sn1 0.0000 0.0000 0.0000
O1 0.5000 0.5000 0.5000
# - total energy (eV/atom) = -2.5232
# - uncorrected formation energy (eV per formula unit) = 2.09
# - energy above the lowest structure with this stoichiometry (eV per atom) = 1.432

Entry 5:
# CaCoCl PBE-GGA relaxed
data_CaCoCl
_cell_length_a 5.7162
_cell_length_b 4.0813
_cell_length_c 10.6839
_cell_angle_alpha 90.00
_cell_angle_beta 90.00
_cell_angle_gamma 90.00
_space_group_name_H-M_alt 'P n m a'
_space_group_IT_number 62
_space_group_name_Hall '-P 2ac 2n'
loop_
_atom_site_label
_atom_site_fract_x
_atom_site_fract_y
_atom_site_fract_z
Ca1 0.2490 0.2500 0.0941
Co1 0.2449 0.7500 0.8737
Cl1 0.1997 0.7500 0.3327
# - total energy (eV/atom) = -3.9352
# - uncorrected formation energy (eV per formula unit) = -0.85

Entry 6:
# MoHPd2Ru PBE-GGA relaxed
data_MoHPd2Ru
_cell_length_a 3.8485
_cell_length_b 3.8485
_cell_length_c 4.2133
_cell_angle_alpha 90.00
_cell_angle_beta 90.00
_cell_angle_gamma 90.00
_space_group_name_H-M_alt 'P 4/m m m'
_space_group_IT_number 123
_space_group_name_Hall '-P 4 2'
loop_
_atom_site_label
_atom_site_fract_x
_atom_site_fract_y
_atom_site_fract_z
Mo1 0.0000 0.0000 0.0000
H1 0.0000 0.0000 0.5000
Pd1 0.0000 0.5000 0.5000
Ru1 0.5000 0.5000 0.0000
# - total energy (eV/atom) = -6.6435